# NiH3Rh2

An optimized crystal structure of NiH3Rh2 (GGA-PBE, Alexandria).

```
data_NiH3Rh2
_chemical_formula_sum 'Ni2 H6 Rh4'
_cell_length_a 9.002
_cell_length_b 3.867
_cell_length_c 2.831
_cell_angle_alpha 90.00
_cell_angle_beta 108.21
_cell_angle_gamma 90.00
_symmetry_space_group_name_H-M 'C 1 2/m 1'
_symmetry_Int_Tables_number 12
loop_
_symmetry_equiv_pos_as_xyz
'x,y,z'
'-x,-y,-z'
'-x,y,-z'
'x,-y,z'
'x+1/2,y+1/2,z'
'-x+1/2,-y+1/2,-z'
'-x+1/2,y+1/2,-z'
'x+1/2,-y+1/2,z'
loop_
_atom_site_label
_atom_site_fract_x
_atom_site_fract_y
_atom_site_fract_z
Ni1 0.000 0.000 0.000
H1 0.000 0.500 0.000
H2 0.155 0.000 0.655
Rh1 0.163 0.500 0.663
```

VASP energy (eV per atom): -5.06
Relative energy among the computed polymorphs (eV per atom): 0.018
Magnetic moment (Bohr magnetons per cell): 2.376